Density functional theory data (PBE) for an optimized crystal structure of Sr2Li5As3.

Unit cell a=13.434 b=13.434 c=7.243 alpha=90.00 beta=90.00 gamma=160.93
Fractional coordinates of all 20 atoms:
Sr 0.022 0.978 0.500
Sr 0.326 0.674 0.527
Sr 0.674 0.326 0.027
Sr 0.978 0.022 0.000
Li 0.090 0.910 0.886
Li 0.202 0.798 0.396
Li 0.231 0.769 0.773
Li 0.372 0.628 0.002
Li 0.441 0.559 0.656
Li 0.559 0.441 0.156
Li 0.628 0.372 0.502
Li 0.769 0.231 0.273
Li 0.798 0.202 0.896
Li 0.910 0.090 0.386
As 0.111 0.889 0.235
As 0.271 0.729 0.099
As 0.449 0.551 0.282
As 0.551 0.449 0.782
As 0.729 0.271 0.599
As 0.889 0.111 0.735

Results
raw total energy = -3.532 eV per atom
total magnetic moment = 0.0 μB/cell
mass density = 3.38 g cm⁻³